Record 1
44
Lattice="7.043 0.000 0.000 0.000 10.880 0.000 0.000 0.000 10.621" Properties=species:S:1:pos:R:3 comment="GGA-PBE Hg3C2N4Cl2, optimized geometry" e_tot_ev_per_atom=-4.94 crystal_system=orthorhombic pbc="T T T"
Hg 0.083 0.576 0.000
Hg 1.483 4.469 4.795
Hg 1.594 7.678 1.490
Hg 1.928 7.678 6.801
Hg 2.038 4.469 10.105
Hg 3.438 0.576 5.310
Hg 3.605 10.304 0.000
Hg 5.004 6.411 4.795
Hg 5.115 3.202 1.490
Hg 5.449 3.202 6.801
Hg 5.560 6.411 10.105
Hg 6.960 10.304 5.310
C 0.722 4.963 2.101
C 1.102 10.260 8.057
C 2.419 10.260 2.746
C 2.799 4.963 7.411
C 4.243 5.917 2.101
C 4.623 0.620 8.057
C 5.941 0.620 2.746
C 6.321 5.917 7.411
N 0.262 4.348 3.044
N 1.012 9.625 6.979
N 1.095 5.605 1.087
N 1.335 0.002 9.068
N 2.187 0.002 3.757
N 2.426 5.605 6.398
N 2.509 9.625 1.669
N 3.259 4.348 8.354
N 3.784 6.532 3.044
N 4.534 1.255 6.979
N 4.616 5.275 1.087
N 4.856 10.878 9.068
N 5.708 10.878 3.757
N 5.948 5.275 6.398
N 6.031 1.255 1.669
N 6.780 6.532 8.354
Cl 0.502 7.632 4.221
Cl 0.932 2.196 6.148
Cl 2.589 2.196 0.838
Cl 3.020 7.632 9.531
Cl 4.023 3.248 4.221
Cl 4.453 8.684 6.148
Cl 6.111 8.684 0.838
Cl 6.541 3.248 9.531

=====

Record 2
12
Lattice="2.089 -6.927 0.000 2.089 6.927 0.000 0.000 0.000 11.283" Properties=species:S:1:pos:R:3 comment="GGA-PBE SrCdHgSe3, optimized geometry" de_polymorph_mev_per_atom=0.0 e_tot_ev_per_atom=-3.03 crystal_system=orthorhombic pbc="T T T"
Sr 2.089 3.706 8.462
Sr 2.089 -3.706 2.821
Cd 0.000 0.000 0.000
Cd 0.000 0.000 5.641
Hg 2.089 0.293 2.821
Hg 2.089 -0.293 8.462
Se 2.089 5.517 2.821
Se 2.089 1.875 0.669
Se 2.089 1.875 4.973
Se 2.089 -1.875 6.310
Se 2.089 -1.875 10.614
Se 2.089 -5.517 8.462

=====

Record 3
6
Lattice="-2.138 2.138 7.875 2.138 -2.138 7.875 2.138 2.138 -7.875" Properties=species:S:1:pos:R:3 comment="GGA-PBE Sm2Sc2SiGe, optimized geometry" e_tot_ev_per_atom=-6.04 crystal_system=tetragonal pbc="T T T"
Sm 0.000 0.000 0.000
Sm 0.000 0.000 5.570
Sc 2.138 0.000 2.747
Sc 0.000 2.138 2.747
Si 0.000 0.000 8.694
Ge 0.000 0.000 12.616